Below is an optimized crystal structure of DyHo2Hf3N6, with properties calculated at the PBE level.

The uncorrected formation energy comes out at -1.80 eV/atom. The density of states at the Fermi level is 5.650 states/eV per cell. As for the mass density: 11.9 g/cm3. The crystal system is monoclinic.

The structure belongs to space group C2/m (No. 12); the cell edges are 5.721, 9.899 and 5.794 Å and the angles 90.00°, 109.24° and 90.00°. The inequivalent atoms are Dy at (0.000, 0.000, 0.000), Ho at (0.000, 0.333, 0.000), Hf at (0.000, 0.167, 0.500), Hf at (0.000, 0.500, 0.500), N at (0.242, 0.333, 0.726) and N at (0.243, 0.000, 0.726).

---

Below is an optimized crystal structure of Dy2CoSi, with properties calculated at the PBE level.

The distance to the lowest polymorph of the same formula comes out at 0.000 kcal/mol of atoms. The uncorrected formation energy comes out at -0.53 eV/atom. The density of states at the Fermi level is 7.580 states/eV per cell. As for the mass density: 8.2 g/cm3. The crystal system is orthorhombic.

The structure belongs to space group Amm2 (No. 38); the cell edges are 3.959, 4.085 and 10.338 Å and the angles 90.00°, 90.00° and 90.00°. The inequivalent atoms are Dy at (0.000, 0.000, 0.000), Dy at (0.500, 0.000, 0.282), Co at (0.000, 0.000, 0.709) and Si at (0.500, 0.000, 0.579).

---

Below is an optimized crystal structure of Cs4Tl5Pd3, with properties calculated at the PBE level.

For the energy of formation, the calculation gives -0.0821 eV/atom. The density of states at the Fermi level is 6.133 states/eV per cell. As for the mass density: 7.0 g/cm3. The crystal system is triclinic.

The structure belongs to space group P-1 (No. 2); the cell edges are 5.513, 8.419 and 10.430 Å and the angles 83.65°, 74.98° and 71.30°. The inequivalent atoms are Cs at (0.038, 0.162, 0.274), Cs at (0.317, 0.554, 0.316), Tl at (0.000, 0.500, 0.000), Tl at (0.321, 0.851, 0.002), Tl at (0.376, 0.134, 0.605), Pd at (0.227, 0.172, 0.879) and Pd at (0.500, 0.500, 0.000).

---

Below is an optimized crystal structure of Er2HfPb, with properties calculated at the PBE level.

The distance to the lowest polymorph of the same formula comes out at 5.788 kcal/mol of atoms. For the energy of formation, the calculation gives 0.1106 eV/atom. The density of states at the Fermi level is 14.910 states/eV per cell. As for the mass density: 10.3 g/cm3. The crystal system is trigonal.

The structure belongs to space group R-3m (No. 166, hexagonal axes); the cell edges are 3.4011, 3.4011 and 34.6937 Å and the angles 90.00°, 90.00° and 120.00°. The inequivalent atoms are Er at (0.0000, 0.0000, 0.0922), Hf at (0.0000, 0.0000, 0.5000) and Pb at (0.0000, 0.0000, 0.0000).

---

Below is an optimized crystal structure of Mg2SnAu, with properties calculated at the PBE level.

For the energy of formation, the calculation gives -0.2600 eV/atom. The density of states at the Fermi level is 5.457 states/eV per cell. As for the mass density: 6.8 g/cm3. The crystal system is trigonal.

The structure belongs to space group R3m (No. 160, hexagonal axes); the cell edges are 3.4506, 3.4506 and 25.9000 Å and the angles 90.00°, 90.00° and 120.00°. The inequivalent atoms are Mg at (0.0000, 0.0000, 0.0000), Mg at (0.0000, 0.0000, 0.1840), Sn at (0.0000, 0.0000, 0.7582) and Au at (0.0000, 0.0000, 0.5919).

---

Below is an optimized crystal structure of Ba3HoBi2O6, with properties calculated at the PBE level.

The uncorrected formation energy comes out at -2.14 eV/atom. The density of states at the Fermi level is 2.127 states/eV per cell. As for the mass density: 7.7 g/cm3. The crystal system is trigonal.

The structure belongs to space group P-3m1 (No. 164); the cell edges are 6.1445, 6.1445 and 7.2413 Å and the angles 90.00°, 90.00° and 120.00°. The inequivalent atoms are Ba at (0.0000, 0.0000, 0.0000), Ba at (0.3333, 0.6667, 0.6266), Ho at (0.0000, 0.0000, 0.5000), Bi at (0.3333, 0.6667, 0.1242) and O at (0.1715, 0.3429, 0.3211).

---

no.,total magnetization (Bohr magnetons per cell)
1,0.00
2,0.00
3,0.00
4,0.00
5,0.00
6,0.00